# 1
Hf2InPd2: relaxed, PBE-GGA.

abc: 7.472 7.472 6.805
angles: 90.00 90.00 90.00
Fractional positions:
Hf  0.152  0.848  0.000
Hf  0.652  0.652  0.500
Hf  0.185  0.815  0.500
Hf  0.848  0.152  0.000
Hf  0.685  0.685  0.000
Hf  0.315  0.315  0.000
Hf  0.348  0.348  0.500
Hf  0.815  0.185  0.500
Pd  0.870  0.870  0.718
Pd  0.630  0.370  0.782
Pd  0.130  0.130  0.282
Pd  0.870  0.870  0.282
Pd  0.630  0.370  0.218
Pd  0.130  0.130  0.718
Pd  0.370  0.630  0.782
Pd  0.370  0.630  0.218
In  0.500  0.000  0.250
In  0.500  0.000  0.750
In  0.000  0.500  0.750
In  0.000  0.500  0.250

Results
Space-group type: P4_2/mnm, No. 136
Total moment (μB per cell): 0.0
DFT total energy (eV/atom): -7.250

# 2
HfInPd2: relaxed, PBE-GGA.

abc: 3.379 3.379 6.465
angles: 90.00 90.00 90.00
Fractional positions:
Pd  0.500  0.500  0.272
Pd  0.500  0.500  0.728
In  0.000  0.000  0.000
Hf  0.000  0.000  0.500

Results
Space-group type: P4/mmm, No. 123
Total moment (μB per cell): 0.0
DFT total energy (eV/atom): -6.412

# 3
Hf2InPd: relaxed, PBE-GGA.

abc: 4.843 4.843 4.843
angles: 60.00 60.00 60.00
Each line ends with the local moment (μB).
Fractional positions:
Hf  0.000  0.000  0.000  0.88
Hf  0.750  0.750  0.750  1.14
In  0.500  0.500  0.500  0.01
Pd  0.250  0.250  0.250  0.16

Results
Space-group type: F-43m, No. 216
Total moment (μB per cell): 2.8
DFT total energy (eV/atom): -7.019

# 4
Hf2InPd2: relaxed, PBE-GGA.

abc: 6.244 6.244 6.244
angles: 138.05 138.05 60.83
Fractional positions:
Hf  0.750  0.250  0.500
Hf  0.250  0.750  0.500
Pd  0.382  0.382  0.000
Pd  0.618  0.618  0.000
In  0.000  0.000  0.000

Results
Space-group type: I4/mmm, No. 139
Total moment (μB per cell): 0.0
DFT total energy (eV/atom): -6.903

# 5
HfInPd2: relaxed, PBE-GGA.

abc: 4.812 4.812 3.104
angles: 90.00 90.00 90.00
Fractional positions:
Hf  0.500  0.500  0.000
In  0.000  0.000  0.000
Pd  0.500  0.000  0.500
Pd  0.000  0.500  0.500

Results
Space-group type: P4/mmm, No. 123
Total moment (μB per cell): 0.0
DFT total energy (eV/atom): -6.310

# 6
HfInPd2: relaxed, PBE-GGA.

abc: 6.386 7.412 6.382
angles: 90.00 90.00 90.00
Fractional positions:
Pd  0.482  0.456  0.740
Pd  0.982  0.956  0.760
Pd  0.518  0.956  0.260
Pd  0.018  0.456  0.240
Pd  0.482  0.044  0.740
Pd  0.018  0.044  0.240
Pd  0.518  0.544  0.260
Pd  0.982  0.544  0.760
Hf  0.201  0.750  0.043
Hf  0.701  0.250  0.457
Hf  0.799  0.250  0.957
Hf  0.299  0.750  0.543
In  0.828  0.750  0.428
In  0.672  0.750  0.928
In  0.328  0.250  0.072
In  0.172  0.250  0.572

Results
Space-group type: Pnma, No. 62
Total moment (μB per cell): 0.0
DFT total energy (eV/atom): -6.254